DFT (PBE) results for crystalline InSiSe2 at its relaxed geometry.

Summary:
The calculation puts the total moment at 0.00 μB/cell. The formation energy without anion corrections comes out at 2.8 kcal/mol of atoms. The calculated total energy comes out at -3.66 eV/atom.

a = 3.9316 Å, b = 3.9316 Å, c = 24.7123 Å
α = 90.00°, β = 90.00°, γ = 120.00°
Space group R-3m (No. 166, hexagonal axes)
Symmetry-distinct sites (fractional):
1 In 0.0000 0.0000 0.0000 x3
2 Si 0.0000 0.0000 0.5000 x3
3 Se 0.0000 0.0000 0.3982 x6